BeNb2Ni2 | PBE | relaxed

Unit cell a=5.5944 b=5.5944 c=4.3285 alpha=90.00 beta=90.00 gamma=90.00
Element x y z (fractional)
Ni 0.3550 0.8550 0.0000
Ni 0.8550 0.6450 0.0000
Ni 0.6450 0.1450 0.0000
Ni 0.1450 0.3550 0.0000
Nb 0.1819 0.6819 0.5000
Nb 0.6819 0.8181 0.5000
Nb 0.8181 0.3181 0.5000
Nb 0.3181 0.1819 0.5000
Be 0.0000 0.0000 0.0000
Be 0.5000 0.5000 0.0000

Values from the calculation:
SG: P4/mbm (127)
Formation enthalpy at 0 K: -0.069 eV/atom